(1)
A geometry-optimized ZnFe3As structure, computed with PBE-GGA.

Summary:
The value obtained for the total magnetization is 8.66 μB/f.u. As for the density of states at the Fermi level: 10.25 states/eV/cell. As for the polymorph energy (0 for the lowest one): 389 meV per atom. The energy is -25.8 eV for the cell shown. The volume comes out at 86.0 Å³/f.u. Its energy relative to the elements is 1.093 eV/atom.

Unit cell a=4.414 b=4.414 c=4.414 alpha=90.00 beta=90.00 gamma=90.00
Positions (direct):
1 Zn 0.000 0.000 0.000
2 Fe 0.000 0.000 0.500
3 Fe 0.000 0.500 0.000
4 Fe 0.500 0.000 0.000
5 As 0.500 0.500 0.500

=====

(2)
A geometry-optimized V2SnS4 structure, computed with PBE-GGA.

Summary:
The value obtained for the total magnetization is 4.57 μB/f.u. As for the density of states at the Fermi level: 5.64 states/eV/cell. The energy is -38.3 eV for the cell shown. The volume comes out at 159.4 Å³/f.u.

Unit cell a=7.121 b=7.121 c=7.121 alpha=138.07 beta=138.07 gamma=60.79
Positions (direct):
1 V 0.106 0.106 0.000
2 V 0.894 0.894 0.000
3 Sn 0.500 0.500 0.000
4 S 0.000 0.500 0.500
5 S 0.279 0.279 0.000
6 S 0.500 0.000 0.500
7 S 0.721 0.721 0.000

=====

(3)
A geometry-optimized HfZnCu2S4 structure, computed with PBE-GGA.

Summary:
The value obtained for the total magnetization is 0.00 μB/f.u. The energy is -42.2 eV for the cell shown. The volume comes out at 161.2 Å³/f.u.

Unit cell a=6.610 b=6.610 c=6.610 alpha=130.93 beta=130.93 gamma=71.92
Positions (direct):
1 Hf 0.000 0.000 0.000
2 Zn 0.500 0.500 0.000
3 Cu 0.250 0.750 0.500
4 Cu 0.750 0.250 0.500
5 S 0.124 0.615 0.000
6 S 0.385 0.385 0.509
7 S 0.615 0.124 0.000
8 S 0.876 0.876 0.491

=====

(4)
A geometry-optimized KPu2PbO8 structure, computed with PBE-GGA.

Summary:
The value obtained for the total magnetization is 3.00 μB/f.u. As for the density of states at the Fermi level: 6.41 states/eV/cell. The energy is -92.8 eV for the cell shown. The volume comes out at 194.3 Å³/f.u.

Unit cell a=6.100 b=6.100 c=6.031 alpha=90.00 beta=90.00 gamma=120.00
Positions (direct):
1 K 0.000 0.000 0.000
2 Pu 0.333 0.667 0.942
3 Pu 0.667 0.333 0.058
4 Pb 0.000 0.000 0.500
5 O 0.059 0.392 0.156
6 O 0.333 0.667 0.632
7 O 0.333 0.941 0.156
8 O 0.392 0.333 0.844
9 O 0.608 0.667 0.156
10 O 0.667 0.059 0.844
11 O 0.667 0.333 0.368
12 O 0.941 0.608 0.844

=====

> Among the records above, which one has the lowest total magnetization?

HfZnCu2S4

=====

> Number 3 is which compound?

HfZnCu2S4